No. 1
## La8P3SBr4 (GGA-PBE)

Data for a geometry-optimized La8P3SBr4 structure.

Formation energy from raw total energies: -1.65 eV/atom
Symmetry: R-3m, No. 166
VASP energy: -5.80 eV per atom
Volume: 457.8 Å³ per cell
Total moment: 0.0 μB/cell

```
La8P3SBr4
1.0
4.244 2.450 7.337
-4.244 2.450 7.337
0.000 -4.901 7.337
La P S Br
8 3 1 4
direct
0.236 0.236 0.236
0.236 0.735 0.735
0.265 0.265 0.764
0.265 0.764 0.265
0.735 0.236 0.735
0.735 0.735 0.236
0.764 0.265 0.265
0.764 0.764 0.764
0.000 0.000 0.500
0.000 0.500 0.000
0.500 0.000 0.000
0.500 0.500 0.500
0.000 0.000 0.000
0.000 0.500 0.500
0.500 0.000 0.500
0.500 0.500 0.000
```



No. 2
## La7TbPm12 (GGA-PBE)

Data for a geometry-optimized La7TbPm12 structure.

Symmetry: R-3, No. 148
VASP energy: -4.60 eV per atom
Distance to the lowest polymorph of the same formula: 0.000 eV per atom
Volume: 712.8 Å³ per cell
Total moment: 0.0 μB/cell
Energy of formation: 210 meV per atom

```
La7TbPm12
1.0
6.367 3.676 5.076
-6.367 3.676 5.076
0.000 -7.352 5.076
La Tb Pm
7 1 12
direct
0.000 0.000 0.000
0.117 0.375 0.439
0.375 0.439 0.117
0.439 0.117 0.375
0.561 0.883 0.625
0.625 0.561 0.883
0.883 0.625 0.561
0.500 0.500 0.500
0.038 0.338 0.937
0.063 0.962 0.662
0.216 0.753 0.360
0.247 0.640 0.784
0.338 0.937 0.038
0.360 0.216 0.753
0.640 0.784 0.247
0.662 0.063 0.962
0.753 0.360 0.216
0.784 0.247 0.640
0.937 0.038 0.338
0.962 0.662 0.063
```



No. 3
## Ac6CoAg2I3 (GGA-PBE)

Data for a geometry-optimized Ac6CoAg2I3 structure.

Formation energy from raw total energies: -0.61 eV/atom
Symmetry: C2/m, No. 12
VASP energy: -4.12 eV per atom
Volume: 458.5 Å³ per cell
Total moment: 0.0 μB/cell

```
Ac6CoAg2I3
1.0
3.954 -6.811 0.000
3.954 6.811 0.000
-2.630 0.000 8.512
Ac Co Ag I
6 1 2 3
direct
0.064 0.367 0.190
0.239 0.239 0.806
0.367 0.064 0.190
0.633 0.936 0.810
0.761 0.761 0.194
0.936 0.633 0.810
0.000 0.000 0.000
0.334 0.666 0.000
0.666 0.334 0.000
0.170 0.830 0.500
0.500 0.500 0.500
0.830 0.170 0.500
```



No. 4
## Ba2NaSrZn (GGA-PBE)

Data for a geometry-optimized Ba2NaSrZn structure.

Symmetry: P4/mmm, No. 123
VASP energy: -1.57 eV per atom
Distance to the lowest polymorph of the same formula: 0.051 eV per atom
Volume: 254.0 Å³ per cell
Total moment: 0.0 μB/cell
Energy of formation: 52 meV per atom

```
Ba2NaSrZn
1.0
6.612 0.000 0.000
0.000 6.612 0.000
0.000 0.000 5.809
Ba Na Sr Zn
2 1 1 1
direct
0.000 0.500 0.000
0.500 0.000 0.000
0.000 0.000 0.500
0.500 0.500 0.500
0.000 0.000 0.000
```